Density functional theory data (PBE) for YSc2W after structural relaxation.

a = 4.9085 Å, b = 6.1950 Å, c = 6.1950 Å
α = 28.94°, β = 90.00°, γ = 90.00°
Sites, in units of the cell vectors:
Y  0.0000  0.0000  0.0000
Sc  0.0000  0.2694  0.2694
Sc  0.5000  0.6582  0.6582
W  0.5000  0.3772  0.3772

Calculated values
The calculation puts the distance to the lowest polymorph of the same formula at 40 meV per atom. As for the space group: Amm2, No. 38. The calculation puts the magnetization at 0.00 Bohr magnetons per cell. The energy of formation comes out at 306 meV per atom. As for the density of states at the Fermi level: 1.00 states/eV/atom. The calculation puts the volume at 22.8 Å³ per atom.

=====

Density functional theory data (PBE) for AlCu2Ni3 after structural relaxation.

a = 5.6372 Å, b = 5.6372 Å, c = 3.6809 Å
α = 90.00°, β = 90.00°, γ = 143.69°
Sites, in units of the cell vectors:
Al  0.0000  0.0000  0.0000
Cu  0.1688  0.8312  0.5000
Cu  0.8312  0.1688  0.5000
Ni  0.3346  0.6654  0.0000
Ni  0.5000  0.5000  0.5000
Ni  0.6654  0.3346  0.0000

Calculated values
The calculation puts the distance to the lowest polymorph of the same formula at 22 meV per atom. As for the space group: Cmmm, No. 65. The calculation puts the magnetization at 0.00 Bohr magnetons per cell. The energy of formation comes out at -230 meV per atom. As for the density of states at the Fermi level: 0.66 states/eV/atom. The calculation puts the volume at 11.5 Å³ per atom.

=====

Density functional theory data (PBE) for BaGaP2 after structural relaxation.

a = 6.0625 Å, b = 6.0625 Å, c = 6.0625 Å
α = 43.17°, β = 43.17°, γ = 43.17°
Sites, in units of the cell vectors:
Ba  0.0000  0.0000  0.0000
Ga  0.5000  0.5000  0.5000
P  0.2034  0.2034  0.2034
P  0.7966  0.7966  0.7966

Calculated values
As for the space group: R-3m, No. 166. The calculation puts the magnetization at 0.00 Bohr magnetons per cell. The energy of formation comes out at -319 meV per atom. As for the density of states at the Fermi level: 0.81 states/eV/atom. The calculation puts the volume at 23.6 Å³ per atom.